Compound: CoH12SO10
Source: Alexandria
Functional: GGA+U
Structure: optimized geometry

**SG**: C2/c (15)
**Uncorrected energy**: -5.2586 eV per atom

Cell: 6.2307 6.2307 24.5692 Å, 81.68 81.68 71.06°
Closest atoms and distances in Å follow each position.
Atoms (fractional coordinates):
H (0.7836, 0.8955, 0.3455)  1 O 0.99
H (0.3033, 0.2511, 0.4949)  1 O 0.98
H (0.8144, 0.3272, 0.2992)  1 O 1.00
H (0.9969, 0.3313, 0.6563)  1 O 0.99
H (0.7066, 0.4436, 0.7990)  1 O 0.99
H (0.0031, 0.6687, 0.3437)  1 O 0.99
H (0.9282, 0.6600, 0.9506)  1 O 0.98
H (0.1856, 0.6728, 0.7008)  1 O 1.00
H (0.5052, 0.0764, 0.7373)  1 O 0.99
H (0.4436, 0.7066, 0.2990)  1 O 0.99
H (0.8955, 0.7836, 0.8455)  1 O 0.99
H (0.9658, 0.3470, 0.4209)  1 O 0.99
H (0.9236, 0.4948, 0.7627)  1 O 0.99
H (0.7248, 0.3034, 0.5669)  1 O 0.99
H (0.6728, 0.1856, 0.2008)  1 O 1.00
H (0.2918, 0.6456, 0.5569)  1 O 0.99
H (0.0764, 0.5052, 0.2373)  1 O 0.99
H (0.2164, 0.1045, 0.6545)  1 O 0.99
H (0.3034, 0.7248, 0.0669)  1 O 0.99
H (0.2511, 0.3033, 0.9949)  1 O 0.98
H (0.7353, 0.9288, 0.1895)  1 O 0.99
H (0.6967, 0.7489, 0.5051)  1 O 0.98
H (0.3400, 0.0718, 0.5494)  1 O 0.98
H (0.6966, 0.2752, 0.9331)  1 O 0.99
H (0.6600, 0.9282, 0.4506)  1 O 0.98
H (0.5564, 0.2934, 0.7010)  1 O 0.99
H (0.3272, 0.8144, 0.7992)  1 O 1.00
H (0.9316, 0.3235, 0.9109)  1 O 0.99
H (0.3470, 0.9658, 0.9209)  1 O 0.99
H (0.0718, 0.3400, 0.0494)  1 O 0.98
H (0.2647, 0.0712, 0.8105)  1 O 0.99
H (0.9288, 0.7353, 0.6895)  1 O 0.99
H (0.2752, 0.6966, 0.4331)  1 O 0.99
H (0.1045, 0.2164, 0.1545)  1 O 0.99
H (0.0684, 0.6765, 0.0891)  1 O 0.99
H (0.3235, 0.9316, 0.4109)  1 O 0.99
H (0.6456, 0.2918, 0.0569)  1 O 0.99
H (0.2934, 0.5564, 0.2010)  1 O 0.99
H (0.6687, 0.0031, 0.8437)  1 O 0.99
H (0.7082, 0.3544, 0.4431)  1 O 0.99
H (0.3313, 0.9969, 0.1563)  1 O 0.99
H (0.3544, 0.7082, 0.9431)  1 O 0.99
H (0.6530, 0.0342, 0.0791)  1 O 0.99
H (0.6765, 0.0684, 0.5891)  1 O 0.99
H (0.0342, 0.6530, 0.5791)  1 O 0.99
H (0.0712, 0.2647, 0.3105)  1 O 0.99
H (0.4948, 0.9236, 0.2627)  1 O 0.99
H (0.7489, 0.6967, 0.0051)  1 O 0.98
Co (0.0000, 0.0000, 0.0000)  6 O 2.07-2.13
Co (0.0584, 0.9416, 0.2500)  6 O 2.08-2.17
Co (0.9416, 0.0584, 0.7500)  6 O 2.08-2.17
Co (0.0000, 0.0000, 0.5000)  6 O 2.07-2.13
O (0.7926, 0.1351, 0.5687)  2 H 0.99
O (0.5330, 0.0651, 0.3833)  1 S 1.50
O (0.5770, 0.5914, 0.5700)  1 S 1.50
O (0.8630, 0.3724, 0.7817)  2 H 0.99
O (0.4086, 0.4230, 0.9300)  1 S 1.50
O (0.5480, 0.4252, 0.3305)  1 S 1.48
O (0.7620, 0.8532, 0.4794)  2 H 0.98
O (0.9083, 0.8002, 0.3214)  2 H 0.99
O (0.8002, 0.9083, 0.8214)  2 H 0.99
O (0.8204, 0.6279, 0.6351)  1 S 1.50
O (0.8649, 0.2074, 0.9313)  2 H 0.99
O (0.7292, 0.0258, 0.2187)  2 H 0.99-1.00
O (0.3721, 0.1796, 0.8649)  1 S 1.50
O (0.2708, 0.9742, 0.7813)  2 H 0.99-1.00
O (0.0258, 0.7292, 0.7187)  2 H 0.99-1.00
O (0.1351, 0.7926, 0.0687)  2 H 0.99
O (0.6276, 0.1370, 0.7183)  2 H 0.99
O (0.9349, 0.4670, 0.1167)  1 S 1.50
O (0.1998, 0.0917, 0.1786)  2 H 0.99
O (0.1796, 0.3721, 0.3649)  1 S 1.50
O (0.5748, 0.4520, 0.1695)  1 S 1.48
O (0.3724, 0.8630, 0.2817)  2 H 0.99
O (0.4670, 0.9349, 0.6167)  1 S 1.50
O (0.2074, 0.8649, 0.4313)  2 H 0.99
O (0.1354, 0.6840, 0.5461)  2 H 0.99
O (0.8646, 0.3160, 0.4539)  2 H 0.99
O (0.3160, 0.8646, 0.9539)  2 H 0.99
O (0.6840, 0.1354, 0.0461)  2 H 0.99
O (0.4520, 0.5748, 0.6695)  1 S 1.48
O (0.0917, 0.1998, 0.6786)  2 H 0.99
O (0.1468, 0.2380, 0.0206)  2 H 0.98
O (0.4252, 0.5480, 0.8305)  1 S 1.48
O (0.4230, 0.4086, 0.4300)  1 S 1.50
O (0.5914, 0.5770, 0.0700)  1 S 1.50
O (0.6279, 0.8204, 0.1351)  1 S 1.50
O (0.0651, 0.5330, 0.8833)  1 S 1.50
O (0.1370, 0.6276, 0.2183)  2 H 0.99
O (0.2380, 0.1468, 0.5206)  2 H 0.98
O (0.9742, 0.2708, 0.2813)  2 H 0.99-1.00
O (0.8532, 0.7620, 0.9794)  2 H 0.98
S (0.6818, 0.5780, 0.1235)  4 O 1.48-1.50
S (0.5780, 0.6818, 0.6235)  4 O 1.48-1.50
S (0.4220, 0.3182, 0.3765)  4 O 1.48-1.50
S (0.3182, 0.4220, 0.8765)  4 O 1.48-1.50